VASP calculation (PBE) on crystalline Cr2WCl at its relaxed geometry.

Results
- relative energy among the computed polymorphs (meV/atom) = 279
- raw formation energy (eV/atom) = 0.511

Structure (CIF):
```
data_Cr2WCl
_chemical_formula_sum 'Cr4 W2 Cl2'
_space_group_name_H-M_alt 'C m m 2'
_space_group_IT_number 35
_space_group_name_Hall 'C 2 -2'
_cell_length_a 2.993
_cell_length_b 4.764
_cell_length_c 9.062
_cell_angle_alpha 90.00
_cell_angle_beta 90.00
_cell_angle_gamma 90.00
loop_
_atom_site_label
_atom_site_type_symbol
_atom_site_fract_x
_atom_site_fract_y
_atom_site_fract_z
_atom_site_occupancy
Cr1 Cr 0.000 0.000 0.000 1
Cr2 Cr 0.000 0.500 0.211 1
W1 W 0.000 0.000 0.426 1
Cl1 Cl 0.000 0.500 0.803 1
```


VASP calculation (PBE) on crystalline Na3ZrCl7 at its relaxed geometry.

Results
- raw formation energy (eV/atom) = -1.743

Structure (CIF):
```
data_Na3ZrCl7
_chemical_formula_sum 'Na6 Zr2 Cl14'
_space_group_name_H-M_alt 'C 1 m 1'
_space_group_IT_number 8
_space_group_name_Hall 'C -2y'
_cell_length_a 9.040
_cell_length_b 10.261
_cell_length_c 7.149
_cell_angle_alpha 90.00
_cell_angle_beta 119.58
_cell_angle_gamma 90.00
loop_
_atom_site_label
_atom_site_type_symbol
_atom_site_fract_x
_atom_site_fract_y
_atom_site_fract_z
_atom_site_occupancy
Na1 Na 0.000 0.000 0.000 1
Na2 Na 0.455 0.236 0.396 1
Zr1 Zr 0.018 0.500 0.935 1
Cl1 Cl 0.091 0.266 0.102 1
Cl2 Cl 0.159 0.500 0.706 1
Cl3 Cl 0.302 0.155 0.644 1
Cl4 Cl 0.343 0.500 0.250 1
Cl5 Cl 0.346 0.000 0.127 1
```


VASP calculation (PBE) on crystalline SnAs3Se at its relaxed geometry.

Results
- relative energy among the computed polymorphs (meV/atom) = 399
- raw formation energy (eV/atom) = 1.067

Structure (CIF):
```
data_SnAs3Se
_chemical_formula_sum 'Sn1 As3 Se1'
_space_group_name_H-M_alt 'P m -3 m'
_space_group_IT_number 221
_space_group_name_Hall '-P 4 2 3'
_cell_length_a 5.228
_cell_length_b 5.228
_cell_length_c 5.228
_cell_angle_alpha 90.00
_cell_angle_beta 90.00
_cell_angle_gamma 90.00
loop_
_atom_site_label
_atom_site_type_symbol
_atom_site_fract_x
_atom_site_fract_y
_atom_site_fract_z
_atom_site_occupancy
Sn1 Sn 0.000 0.000 0.000 1
As1 As 0.000 0.000 0.500 1
Se1 Se 0.500 0.500 0.500 1
```


VASP calculation (PBE) on crystalline Cs2PaBr4 at its relaxed geometry.

Results
- raw formation energy (eV/atom) = -1.306

Structure (CIF):
```
data_Cs2PaBr4
_chemical_formula_sum 'Cs4 Pa2 Br8'
_space_group_name_H-M_alt 'I 4/m m m'
_space_group_IT_number 139
_space_group_name_Hall '-I 4 2'
_cell_length_a 5.756
_cell_length_b 5.756
_cell_length_c 18.376
_cell_angle_alpha 90.00
_cell_angle_beta 90.00
_cell_angle_gamma 90.00
loop_
_atom_site_label
_atom_site_type_symbol
_atom_site_fract_x
_atom_site_fract_y
_atom_site_fract_z
_atom_site_occupancy
Cs1 Cs 0.000 0.000 0.140 1
Pa1 Pa 0.000 0.000 0.500 1
Br1 Br 0.000 0.000 0.337 1
Br2 Br 0.000 0.500 0.000 1
```


VASP calculation (PBE) on crystalline La2TeIr2 at its relaxed geometry.

Results
- relative energy among the computed polymorphs (meV/atom) = 6
- raw formation energy (eV/atom) = -0.759

Structure (CIF):
```
data_La2TeIr2
_chemical_formula_sum 'La4 Te2 Ir4'
_space_group_name_H-M_alt 'P 4/m b m'
_space_group_IT_number 127
_space_group_name_Hall '-P 4 2ab'
_cell_length_a 7.741
_cell_length_b 7.741
_cell_length_c 4.019
_cell_angle_alpha 90.00
_cell_angle_beta 90.00
_cell_angle_gamma 90.00
loop_
_atom_site_label
_atom_site_type_symbol
_atom_site_fract_x
_atom_site_fract_y
_atom_site_fract_z
_atom_site_occupancy
La1 La 0.177 0.323 0.000 1
Te1 Te 0.000 0.000 0.500 1
Ir1 Ir 0.125 0.625 0.500 1
```


VASP calculation (PBE) on crystalline Tb7DyEr12 at its relaxed geometry.

Results
- relative energy among the computed polymorphs (meV/atom) = 0
- ΔE_f (eV per atom) = 0.301

Structure (CIF):
```
data_Tb7DyEr12
_chemical_formula_sum 'Tb21 Dy3 Er36'
_space_group_name_H-M_alt 'R -3'
_space_group_IT_number 148
_space_group_name_Hall '-R 3'
_cell_length_a 12.6912
_cell_length_b 12.6912
_cell_length_c 13.5138
_cell_angle_alpha 90.00
_cell_angle_beta 90.00
_cell_angle_gamma 120.00
loop_
_atom_site_label
_atom_site_type_symbol
_atom_site_fract_x
_atom_site_fract_y
_atom_site_fract_z
_atom_site_occupancy
Tb1 Tb 0.0000 0.0000 0.0000 1
Tb2 Tb 0.0684 0.8682 0.3459 1
Dy1 Dy 0.0000 0.0000 0.5000 1
Er1 Er 0.9999 0.4356 0.7509 1
Er2 Er 0.0682 0.2012 0.8499 1
```


VASP calculation (PBE) on crystalline Na4Dy3ZrSe8 at its relaxed geometry.

Results
- raw formation energy (eV/atom) = -1.585

Structure (CIF):
```
data_Na4Dy3ZrSe8
_chemical_formula_sum 'Na12 Dy9 Zr3 Se24'
_space_group_name_H-M_alt 'R -3 m'
_space_group_IT_number 166
_space_group_name_Hall '-R 3 2"'
_cell_length_a 8.1451
_cell_length_b 8.1451
_cell_length_c 21.1125
_cell_angle_alpha 90.00
_cell_angle_beta 90.00
_cell_angle_gamma 120.00
loop_
_atom_site_label
_atom_site_type_symbol
_atom_site_fract_x
_atom_site_fract_y
_atom_site_fract_z
_atom_site_occupancy
Na1 Na 0.0000 0.0000 0.0000 1
Na2 Na 0.0000 0.5000 0.0000 1
Dy1 Dy 0.0000 0.5000 0.5000 1
Zr1 Zr 0.0000 0.0000 0.5000 1
Se1 Se 0.0000 0.0000 0.2442 1
Se2 Se 0.0105 0.5052 0.2426 1
```


VASP calculation (PBE) on crystalline LiSmGdHo at its relaxed geometry.

Results
- ΔE_f (eV per atom) = 0.186

Structure (CIF):
```
data_LiSmGdHo
_chemical_formula_sum 'Li4 Sm4 Gd4 Ho4'
_space_group_name_H-M_alt 'F -4 3 m'
_space_group_IT_number 216
_space_group_name_Hall 'F -4 2 3'
_cell_length_a 7.800
_cell_length_b 7.800
_cell_length_c 7.800
_cell_angle_alpha 90.00
_cell_angle_beta 90.00
_cell_angle_gamma 90.00
loop_
_atom_site_label
_atom_site_type_symbol
_atom_site_fract_x
_atom_site_fract_y
_atom_site_fract_z
_atom_site_occupancy
Li1 Li 0.000 0.000 0.000 1
Sm1 Sm 0.250 0.250 0.750 1
Gd1 Gd 0.000 0.000 0.500 1
Ho1 Ho 0.250 0.250 0.250 1
```


VASP calculation (PBE) on crystalline HfMnNiRu at its relaxed geometry.

Results
- ΔE_f (eV per atom) = -0.287

Structure (CIF):
```
data_HfMnNiRu
_chemical_formula_sum 'Hf4 Mn4 Ni4 Ru4'
_space_group_name_H-M_alt 'F -4 3 m'
_space_group_IT_number 216
_space_group_name_Hall 'F -4 2 3'
_cell_length_a 6.219
_cell_length_b 6.219
_cell_length_c 6.219
_cell_angle_alpha 90.00
_cell_angle_beta 90.00
_cell_angle_gamma 90.00
loop_
_atom_site_label
_atom_site_type_symbol
_atom_site_fract_x
_atom_site_fract_y
_atom_site_fract_z
_atom_site_occupancy
Hf1 Hf 0.000 0.000 0.000 1
Mn1 Mn 0.000 0.000 0.500 1
Ni1 Ni 0.250 0.250 0.250 1
Ru1 Ru 0.250 0.250 0.750 1
```


VASP calculation (PBE) on crystalline LiScSiO4 at its relaxed geometry.

Results
- relative energy among the computed polymorphs (meV/atom) = 0
- raw formation energy (eV/atom) = -2.974

Structure (CIF):
```
data_LiScSiO4
_chemical_formula_sum 'Li4 Sc4 Si4 O16'
_space_group_name_H-M_alt 'P n m a'
_space_group_IT_number 62
_space_group_name_Hall '-P 2ac 2n'
_cell_length_a 10.531
_cell_length_b 6.030
_cell_length_c 4.865
_cell_angle_alpha 90.00
_cell_angle_beta 90.00
_cell_angle_gamma 90.00
loop_
_atom_site_label
_atom_site_type_symbol
_atom_site_fract_x
_atom_site_fract_y
_atom_site_fract_z
_atom_site_occupancy
Li1 Li 0.000 0.000 0.000 1
Sc1 Sc 0.225 0.250 0.495 1
Si1 Si 0.092 0.750 0.434 1
O1 O 0.052 0.250 0.695 1
O2 O 0.101 0.750 0.767 1
O3 O 0.169 0.540 0.285 1
```


VASP calculation (PBE) on crystalline LaAlPt2 at its relaxed geometry.

Results
- ΔE_f (eV per atom) = -0.224

Structure (CIF):
```
data_LaAlPt2
_chemical_formula_sum 'La3 Al3 Pt6'
_space_group_name_H-M_alt 'R 3 m'
_space_group_IT_number 160
_space_group_name_Hall 'R 3 -2"'
_cell_length_a 3.0783
_cell_length_b 3.0783
_cell_length_c 28.5332
_cell_angle_alpha 90.00
_cell_angle_beta 90.00
_cell_angle_gamma 120.00
loop_
_atom_site_label
_atom_site_type_symbol
_atom_site_fract_x
_atom_site_fract_y
_atom_site_fract_z
_atom_site_occupancy
La1 La 0.0000 0.0000 0.0000 1
Al1 Al 0.0000 0.0000 0.2323 1
Pt1 Pt 0.0000 0.0000 0.5024 1
Pt2 Pt 0.0000 0.0000 0.7545 1
```


VASP calculation (PBE) on crystalline TaAsCl2 at its relaxed geometry.

Results
- relative energy among the computed polymorphs (meV/atom) = 485
- raw formation energy (eV/atom) = -0.150

Structure (CIF):
```
data_TaAsCl2
_chemical_formula_sum 'Ta2 As2 Cl4'
_space_group_name_H-M_alt 'C m m m'
_space_group_IT_number 65
_space_group_name_Hall '-C 2 2'
_cell_length_a 2.899
_cell_length_b 5.790
_cell_length_c 12.593
_cell_angle_alpha 90.00
_cell_angle_beta 90.00
_cell_angle_gamma 90.00
loop_
_atom_site_label
_atom_site_type_symbol
_atom_site_fract_x
_atom_site_fract_y
_atom_site_fract_z
_atom_site_occupancy
Ta1 Ta 0.000 0.000 0.000 1
As1 As 0.000 0.000 0.500 1
Cl1 Cl 0.000 0.500 0.159 1
```


VASP calculation (PBE) on crystalline BaPu2GeAs4 at its relaxed geometry.

Results
- ΔE_f (eV per atom) = -0.740

Structure (CIF):
```
data_BaPu2GeAs4
_chemical_formula_sum 'Ba4 Pu8 Ge4 As16'
_space_group_name_H-M_alt 'C m c m'
_space_group_IT_number 63
_space_group_name_Hall '-C 2c 2'
_cell_length_a 4.290
_cell_length_b 14.433
_cell_length_c 14.107
_cell_angle_alpha 90.00
_cell_angle_beta 90.00
_cell_angle_gamma 90.00
loop_
_atom_site_label
_atom_site_type_symbol
_atom_site_fract_x
_atom_site_fract_y
_atom_site_fract_z
_atom_site_occupancy
Ba1 Ba 0.000 0.115 0.250 1
Pu1 Pu 0.000 0.372 0.054 1
Ge1 Ge 0.000 0.157 0.750 1
As1 As 0.000 0.000 0.000 1
As2 As 0.000 0.260 0.612 1
As3 As 0.000 0.438 0.250 1
```


VASP calculation (PBE) on crystalline Sr2ZnSb at its relaxed geometry.

Results
- relative energy among the computed polymorphs (meV/atom) = 87
- raw formation energy (eV/atom) = -0.581

Structure (CIF):
```
data_Sr2ZnSb
_chemical_formula_sum 'Sr8 Zn4 Sb4'
_space_group_name_H-M_alt 'F m -3 m'
_space_group_IT_number 225
_space_group_name_Hall '-F 4 2 3'
_cell_length_a 7.995
_cell_length_b 7.995
_cell_length_c 7.995
_cell_angle_alpha 90.00
_cell_angle_beta 90.00
_cell_angle_gamma 90.00
loop_
_atom_site_label
_atom_site_type_symbol
_atom_site_fract_x
_atom_site_fract_y
_atom_site_fract_z
_atom_site_occupancy
Sr1 Sr 0.250 0.250 0.250 1
Zn1 Zn 0.000 0.000 0.000 1
Sb1 Sb 0.000 0.000 0.500 1
```


VASP calculation (PBE) on crystalline Pr4BiAu at its relaxed geometry.

Results
- ΔE_f (eV per atom) = -0.499

Structure (CIF):
```
data_Pr4BiAu
_chemical_formula_sum 'Pr16 Bi4 Au4'
_space_group_name_H-M_alt 'C 1 2/c 1'
_space_group_IT_number 15
_space_group_name_Hall '-C 2yc'
_cell_length_a 9.050
_cell_length_b 14.420
_cell_length_c 6.265
_cell_angle_alpha 90.00
_cell_angle_beta 111.95
_cell_angle_gamma 90.00
loop_
_atom_site_label
_atom_site_type_symbol
_atom_site_fract_x
_atom_site_fract_y
_atom_site_fract_z
_atom_site_occupancy
Pr1 Pr 0.107 0.188 0.064 1
Pr2 Pr 0.207 0.415 0.353 1
Bi1 Bi 0.000 0.384 0.750 1
Au1 Au 0.000 0.002 0.750 1
```


VASP calculation (PBE) on crystalline K2RbRuF6 at its relaxed geometry.

Results
- relative energy among the computed polymorphs (meV/atom) = 40
- raw formation energy (eV/atom) = -2.296

Structure (CIF):
```
data_K2RbRuF6
_chemical_formula_sum 'K8 Rb4 Ru4 F24'
_space_group_name_H-M_alt 'F m -3 m'
_space_group_IT_number 225
_space_group_name_Hall '-F 4 2 3'
_cell_length_a 9.249
_cell_length_b 9.249
_cell_length_c 9.249
_cell_angle_alpha 90.00
_cell_angle_beta 90.00
_cell_angle_gamma 90.00
loop_
_atom_site_label
_atom_site_type_symbol
_atom_site_fract_x
_atom_site_fract_y
_atom_site_fract_z
_atom_site_occupancy
K1 K 0.250 0.250 0.250 1
Rb1 Rb 0.000 0.000 0.000 1
Ru1 Ru 0.000 0.000 0.500 1
F1 F 0.000 0.000 0.282 1
```


VASP calculation (PBE) on crystalline Ti2Be2Os at its relaxed geometry.

Results
- ΔE_f (eV per atom) = -0.393

Structure (CIF):
```
data_Ti2Be2Os
_chemical_formula_sum 'Ti4 Be4 Os2'
_space_group_name_H-M_alt 'P 4/m b m'
_space_group_IT_number 127
_space_group_name_Hall '-P 4 2ab'
_cell_length_a 6.247
_cell_length_b 6.247
_cell_length_c 3.198
_cell_angle_alpha 90.00
_cell_angle_beta 90.00
_cell_angle_gamma 90.00
loop_
_atom_site_label
_atom_site_type_symbol
_atom_site_fract_x
_atom_site_fract_y
_atom_site_fract_z
_atom_site_occupancy
Ti1 Ti 0.180 0.320 0.000 1
Be1 Be 0.119 0.619 0.500 1
Os1 Os 0.000 0.000 0.500 1
```


VASP calculation (PBE) on crystalline LiErB at its relaxed geometry.

Results
- ΔE_f (eV per atom) = -0.033

Structure (CIF):
```
data_LiErB
_chemical_formula_sum 'Li4 Er4 B4'
_space_group_name_H-M_alt 'C 1 2/m 1'
_space_group_IT_number 12
_space_group_name_Hall '-C 2y'
_cell_length_a 8.633
_cell_length_b 3.717
_cell_length_c 7.328
_cell_angle_alpha 90.00
_cell_angle_beta 98.10
_cell_angle_gamma 90.00
loop_
_atom_site_label
_atom_site_type_symbol
_atom_site_fract_x
_atom_site_fract_y
_atom_site_fract_z
_atom_site_occupancy
Li1 Li 0.132 0.000 0.407 1
Er1 Er 0.117 0.500 0.836 1
B1 B 0.076 0.000 0.074 1
```


VASP calculation (PBE) on crystalline Ba2NaPbSe at its relaxed geometry.

Results
- raw formation energy (eV/atom) = -0.838

Structure (CIF):
```
data_Ba2NaPbSe
_chemical_formula_sum 'Ba2 Na1 Pb1 Se1'
_space_group_name_H-M_alt 'P 4/m m m'
_space_group_IT_number 123
_space_group_name_Hall '-P 4 2'
_cell_length_a 6.343
_cell_length_b 6.343
_cell_length_c 5.274
_cell_angle_alpha 90.00
_cell_angle_beta 90.00
_cell_angle_gamma 90.00
loop_
_atom_site_label
_atom_site_type_symbol
_atom_site_fract_x
_atom_site_fract_y
_atom_site_fract_z
_atom_site_occupancy
Ba1 Ba 0.000 0.500 0.000 1
Na1 Na 0.000 0.000 0.500 1
Pb1 Pb 0.500 0.500 0.500 1
Se1 Se 0.000 0.000 0.000 1
```


VASP calculation (PBE) on crystalline Re2Pt at its relaxed geometry.

Results
- relative energy among the computed polymorphs (meV/atom) = 10
- ΔE_f (eV per atom) = -0.077

Structure (CIF):
```
data_Re2Pt
_chemical_formula_sum 'Re8 Pt4'
_space_group_name_H-M_alt 'C 1 m 1'
_space_group_IT_number 8
_space_group_name_Hall 'C -2y'
_cell_length_a 10.170
_cell_length_b 2.771
_cell_length_c 6.602
_cell_angle_alpha 90.00
_cell_angle_beta 104.35
_cell_angle_gamma 90.00
loop_
_atom_site_label
_atom_site_type_symbol
_atom_site_fract_x
_atom_site_fract_y
_atom_site_fract_z
_atom_site_occupancy
Re1 Re 0.000 0.000 0.000 1
Re2 Re 0.057 0.000 0.617 1
Re3 Re 0.220 0.500 0.950 1
Re4 Re 0.392 0.000 0.278 1
Pt1 Pt 0.167 0.500 0.331 1
Pt2 Pt 0.336 0.000 0.678 1
```